VASP calculation (PBE-GGA) on LaHg2W after structural relaxation.

Unit cell a=3.106 b=3.106 c=31.790 alpha=90.00 beta=90.00 gamma=120.00
Sites, in units of the cell vectors:
La 0.000 0.000 0.000
La 0.333 0.667 0.667
La 0.667 0.333 0.333
Hg 0.000 0.000 0.242
Hg 0.000 0.000 0.758
Hg 0.333 0.667 0.425
Hg 0.333 0.667 0.908
Hg 0.667 0.333 0.092
Hg 0.667 0.333 0.575
W 0.000 0.000 0.500
W 0.333 0.667 0.167
W 0.667 0.333 0.833

Distance to the lowest polymorph of the same formula: 128.8 meV/atom
Density of states at the Fermi level: 11.208 states/eV per cell
Energy relative to the elements: 0.5526 eV/atom
SG: R-3m
Spin magnetization: 2.20 μB/cell